# 1
## LaSc2Zn (PBE-GGA)

Data for crystalline LaSc2Zn at its relaxed geometry.

Geometry as extended XYZ:
```
4
Lattice="-0.630 -6.630 7.926 2.246 -7.772 6.459 2.370 -5.152 8.661" Properties=species:S:1:pos:R:3 pbc="T T T"
Sc 0.966 -4.740 5.587
Sc 3.960 -19.424 22.894
Zn 2.021 -9.913 11.684
La 3.018 -14.805 17.449
```

formation enthalpy at 0 K	0.0215	eV/atom


# 2
## LaScZn2 (PBE-GGA)

Data for crystalline LaScZn2 at its relaxed geometry.

Geometry as extended XYZ:
```
4
Lattice="9.358 -0.006 -0.003 8.711 3.421 -0.003 8.711 1.646 2.999" Properties=species:S:1:pos:R:3 pbc="T T T"
Sc 20.084 3.796 2.244
La 6.695 1.265 0.748
Zn 0.248 0.047 0.028
Zn 13.141 2.484 1.468
```

distance to the lowest polymorph of the same formula	241.5	meV per atom
formation enthalpy at 0 K	-0.0749	eV/atom


# 3
## LaScZn2 (PBE-GGA)

Data for crystalline LaScZn2 at its relaxed geometry.

Geometry as extended XYZ:
```
4
Lattice="-3.517 -0.681 4.811 -4.368 -3.212 2.566 1.591 -3.425 3.260" Properties=species:S:1:pos:R:3 pbc="T T T"
Sc -1.709 -1.836 2.718
Zn 1.273 -3.442 3.399
Zn -4.421 -5.473 7.846
La -2.993 -3.652 5.251
```

distance to the lowest polymorph of the same formula	140.3	meV per atom
formation enthalpy at 0 K	-0.1761	eV/atom


# 4
## LaSc3Zn4 (PBE-GGA)

Data for crystalline LaSc3Zn4 at its relaxed geometry.

Geometry as extended XYZ:
```
16
Lattice="4.870 0.000 0.000 0.000 7.019 0.000 0.000 0.000 9.741" Properties=species:S:1:pos:R:3 pbc="T T T"
Zn 2.435 1.551 4.871
Zn 4.870 5.467 2.435
Zn 0.000 5.467 7.306
Zn 2.435 1.551 0.000
Zn 2.435 5.467 0.000
Zn 0.000 1.552 7.306
Zn 2.435 5.467 4.871
Zn 4.870 1.552 2.435
La 0.000 3.509 4.871
La 0.000 3.509 0.000
Sc 2.435 0.000 2.435
Sc 2.435 0.000 7.306
Sc 0.000 0.000 0.000
Sc 0.000 0.000 4.871
Sc 2.435 3.509 7.306
Sc 2.435 3.509 2.435
```

formation enthalpy at 0 K	-0.3048	eV/atom


# 5
## La2ScZn (PBE-GGA)

Data for crystalline La2ScZn at its relaxed geometry.

Geometry as extended XYZ:
```
4
Lattice="-1.246 -6.077 2.693 1.893 -1.952 6.192 -3.362 4.440 -3.837" Properties=species:S:1:pos:R:3 pbc="T T T"
Sc -2.142 -2.826 1.649
Zn -0.572 -0.763 3.399
La 0.028 -0.342 0.378
La 0.296 -3.673 4.064
```

formation enthalpy at 0 K	-0.0188	eV/atom


# 6
## La2ScZn (PBE-GGA)

Data for crystalline La2ScZn at its relaxed geometry.

Geometry as extended XYZ:
```
4
Lattice="10.538 -0.018 -0.011 9.911 3.581 -0.011 9.911 1.727 3.137" Properties=species:S:1:pos:R:3 pbc="T T T"
Zn 22.771 3.967 2.337
Sc 7.590 1.322 0.779
La 0.168 0.029 0.017
La 15.012 2.615 1.541
```

formation enthalpy at 0 K	0.0331	eV/atom


# 7
## LaScZn2 (PBE-GGA)

Data for crystalline LaScZn2 at its relaxed geometry.

Geometry as extended XYZ:
```
8
Lattice="4.725 0.000 0.000 0.000 4.725 0.000 2.363 2.363 9.635" Properties=species:S:1:pos:R:3 pbc="T T T"
Zn 3.544 4.101 7.226
Zn 1.738 3.544 2.409
Zn 2.987 1.181 2.409
Zn 5.907 5.350 7.226
Sc 2.363 4.725 4.817
Sc 2.363 2.363 0.000
La 4.725 2.363 4.817
La 0.000 0.000 0.000
```

distance to the lowest polymorph of the same formula	518.3	meV per atom
formation enthalpy at 0 K	0.2020	eV/atom


# 8
## La4ScZn (PBE-GGA)

Data for crystalline La4ScZn at its relaxed geometry.

Geometry as extended XYZ:
```
6
Lattice="6.085 -1.523 1.788 1.274 -5.857 2.571 3.401 -4.392 -3.418" Properties=species:S:1:pos:R:3 pbc="T T T"
La 7.077 -5.176 1.247
La 4.035 -4.414 0.353
La 4.672 -7.343 1.639
La 5.735 -6.611 -1.356
Sc 8.070 -8.829 0.706
Zn 0.000 0.000 0.000
```

distance to the lowest polymorph of the same formula	472.5	meV per atom
formation enthalpy at 0 K	0.4041	eV/atom